1.
Compound: KReBi3
Source: the Alexandria database
Functional: GGA-PBE
Structure: relaxed

Output
Energy above the lowest structure with this stoichiometry in meV per atom: 1659
Calculated volume in Å³/cell: 199.3
Energy of formation in eV per formula unit: 11.0
Final energy in eV per formula unit: -14.21
Crystal system: cubic

Cell: 5.8411 5.8411 5.8411 Å, 90.00 90.00 90.00°
With the nearest neighbours (Å) after each atom.
Fractional positions:
1 K 0.0000 0.0000 0.0000  6 Bi 2.92
2 Bi 0.5000 0.0000 0.0000  2 K 2.92
3 Bi 0.0000 0.5000 0.0000  2 K 2.92
4 Bi 0.0000 0.0000 0.5000  2 K 2.92
5 Re 0.5000 0.5000 0.5000  12 Bi 4.13

2.
Compound: Cs2Li2PaS4
Source: the Alexandria database
Functional: GGA-PBE
Structure: relaxed

Output
Calculated volume in Å³/cell: 243.2
Final energy in eV per formula unit: -44.61
Crystal system: monoclinic

Cell: 4.1896 8.0506 7.9032 Å, 108.19 105.37 90.00°
With the nearest neighbours (Å) after each atom.
Fractional positions:
1 S 0.4818 0.2140 0.9637  1 Li 2.48
2 S 0.8110 0.8558 0.6220  3 Li 2.44-2.53
3 S 0.1890 0.1442 0.3780  3 Li 2.44-2.53
4 S 0.5182 0.7860 0.0363  1 Li 2.48
5 Cs 0.1400 0.5657 0.2800  7 S 3.56-3.71, 3 Li 3.76-3.85
6 Cs 0.8600 0.4343 0.7200  7 S 3.56-3.71, 3 Li 3.76-3.85
7 Li 0.6805 0.9855 0.3610  4 S 2.44-2.53
8 Li 0.3195 0.0145 0.6390  4 S 2.44-2.53
9 Pa 0.0000 0.0000 0.0000  6 S 2.73-2.78